Material: MgAgSCl2
Method: DFT, PBE
State: optimized geometry

Cell lengths 4.855, 4.855, 5.025 Å; angles 90.00, 90.00, 90.00 degrees
Space group P4/mmm (No. 123)
Inequivalent atoms, fractional coordinates:
Mg: 0.000 0.000 0.000 x1
Ag: 0.500 0.500 0.500 x1
S: 0.000 0.000 0.500 x1
Cl: 0.000 0.500 0.000 x2

Summary:
- M_tot: 1.00 μB/f.u.
- DFT total energy: -2.9720 eV per atom
- Crystal system: tetragonal
- Distance to the lowest polymorph of the same formula: 0 meV/atom
- Formation energy (no corrections): -2.6 eV/f.u.